# 1
Entry from Alexandria: a relaxed Er2GaCu3 crystal (PBE).

Computed properties:
Offset from the most stable computed form in meV/atom: 42
E_form in meV/atom: -324

Unit cell a=3.715 b=4.029 c=8.109 alpha=104.39 beta=103.24 gamma=90.00
Atoms (fractional coordinates):
Er (0.129, 0.129, 0.258)
Er (0.867, 0.367, 0.734)
Ga (0.460, 0.960, 0.920)
Cu (0.702, 0.702, 0.404)
Cu (0.544, 0.544, 0.087)
Cu (0.298, 0.798, 0.596)


# 2
Entry from Alexandria: a relaxed Er3GaCu2 crystal (PBE).

Computed properties:
E_form in meV/atom: -379

Unit cell a=4.917 b=4.917 c=12.063 alpha=90.00 beta=90.00 gamma=120.00
Atoms (fractional coordinates):
Er (0.333, 0.667, 0.416)
Er (0.667, 0.333, 0.078)
Er (0.000, 0.000, 0.756)
Er (0.000, 0.000, 0.244)
Er (0.333, 0.667, 0.922)
Er (0.667, 0.333, 0.584)
Ga (0.333, 0.667, 0.668)
Ga (0.667, 0.333, 0.332)
Cu (0.000, 0.000, 0.500)
Cu (0.333, 0.667, 0.168)
Cu (0.667, 0.333, 0.832)
Cu (0.000, 0.000, 0.000)


# 3
Entry from Alexandria: a relaxed ErGa12Cu6 crystal (PBE).

Computed properties:
E_form in meV/atom: -62

Unit cell a=7.132 b=7.132 c=7.132 alpha=104.68 beta=104.68 gamma=104.68
Atoms (fractional coordinates):
Er (0.000, 0.000, 0.000)
Ga (0.887, 0.113, 0.500)
Ga (0.860, 0.609, 0.609)
Ga (0.609, 0.609, 0.860)
Ga (0.391, 0.140, 0.391)
Ga (0.391, 0.391, 0.140)
Ga (0.140, 0.391, 0.391)
Ga (0.113, 0.500, 0.887)
Ga (0.500, 0.887, 0.113)
Ga (0.113, 0.887, 0.500)
Ga (0.887, 0.500, 0.113)
Ga (0.500, 0.113, 0.887)
Ga (0.609, 0.860, 0.609)
Cu (0.712, 0.290, 0.290)
Cu (0.290, 0.290, 0.712)
Cu (0.290, 0.712, 0.290)
Cu (0.710, 0.710, 0.288)
Cu (0.288, 0.710, 0.710)
Cu (0.710, 0.288, 0.710)


# 4
Entry from Alexandria: a relaxed Er3Ga6Cu5 crystal (PBE).

Computed properties:
E_form in meV/atom: -434

Unit cell a=4.199 b=9.111 c=12.372 alpha=90.00 beta=90.00 gamma=90.00
Atoms (fractional coordinates):
Er (0.000, 0.250, 0.704)
Er (0.500, 0.750, 0.204)
Er (0.500, 0.750, 0.796)
Er (0.000, 0.252, 0.000)
Er (0.500, 0.748, 0.500)
Er (0.000, 0.250, 0.296)
Ga (0.000, 0.976, 0.851)
Ga (0.500, 0.024, 0.649)
Ga (0.500, 0.396, 0.833)
Ga (0.500, 0.574, 0.000)
Ga (0.000, 0.426, 0.500)
Ga (0.000, 0.604, 0.667)
Ga (0.000, 0.604, 0.333)
Ga (0.500, 0.946, 0.000)
Ga (0.000, 0.976, 0.149)
Ga (0.500, 0.396, 0.167)
Ga (0.000, 0.054, 0.500)
Ga (0.500, 0.024, 0.351)
Cu (0.000, 0.534, 0.873)
Cu (0.000, 0.876, 0.654)
Cu (0.000, 0.764, 0.000)
Cu (0.500, 0.466, 0.627)
Cu (0.500, 0.236, 0.500)
Cu (0.000, 0.534, 0.127)
Cu (0.500, 0.466, 0.373)
Cu (0.000, 0.876, 0.346)
Cu (0.500, 0.124, 0.846)
Cu (0.500, 0.124, 0.154)


# 5
Entry from Alexandria: a relaxed Er2Ga9Cu crystal (PBE).

Computed properties:
E_form in meV/atom: -326

Unit cell a=4.228 b=4.228 c=12.262 alpha=90.00 beta=90.00 gamma=90.00
Atoms (fractional coordinates):
Er (0.000, 0.000, 0.323)
Er (0.000, 0.000, 0.677)
Ga (0.500, 0.500, 0.000)
Ga (0.500, 0.500, 0.336)
Ga (0.500, 0.500, 0.664)
Ga (0.500, 0.000, 0.144)
Ga (0.500, 0.000, 0.500)
Ga (0.500, 0.000, 0.856)
Ga (0.000, 0.500, 0.144)
Ga (0.000, 0.500, 0.500)
Ga (0.000, 0.500, 0.856)
Cu (0.000, 0.000, 0.000)


# 6
Entry from Alexandria: a relaxed Er3Ga4Cu crystal (PBE).

Computed properties:
E_form in meV/atom: -332

Unit cell a=3.549 b=6.211 c=8.781 alpha=110.71 beta=101.66 gamma=90.00
Atoms (fractional coordinates):
Er (0.225, 0.225, 0.450)
Er (0.775, 0.775, 0.550)
Er (0.000, 0.500, 0.000)
Ga (0.383, 0.625, 0.766)
Ga (0.617, 0.375, 0.234)
Ga (0.617, 0.858, 0.234)
Ga (0.383, 0.142, 0.766)
Cu (0.500, 0.000, 0.000)


# 7
Entry from Alexandria: a relaxed Er3Ga3Cu8 crystal (PBE).

Computed properties:
E_form in meV/atom: -301

Unit cell a=4.146 b=7.920 c=7.920 alpha=67.99 beta=74.83 gamma=74.83
Atoms (fractional coordinates):
Er (0.500, 0.500, 0.500)
Er (0.798, 0.202, 0.202)
Er (0.202, 0.798, 0.798)
Ga (0.500, 0.000, 0.000)
Ga (0.000, 0.784, 0.216)
Ga (0.000, 0.216, 0.784)
Cu (0.631, 0.086, 0.652)
Cu (0.369, 0.914, 0.348)
Cu (0.631, 0.652, 0.086)
Cu (0.369, 0.348, 0.914)
Cu (0.830, 0.811, 0.528)
Cu (0.170, 0.189, 0.472)
Cu (0.830, 0.528, 0.811)
Cu (0.170, 0.472, 0.189)


# 8
Entry from Alexandria: a relaxed Er3GaCu3 crystal (PBE).

Computed properties:
E_form in meV/atom: -339

Unit cell a=4.138 b=5.492 c=13.656 alpha=85.45 beta=81.29 gamma=67.87
Atoms (fractional coordinates):
Er (0.535, 0.318, 0.611)
Er (0.465, 0.682, 0.389)
Er (0.250, 0.268, 0.231)
Er (0.750, 0.732, 0.769)
Er (0.396, 0.287, 0.921)
Er (0.604, 0.713, 0.079)
Ga (0.756, 0.096, 0.393)
Ga (0.244, 0.904, 0.607)
Cu (0.869, 0.720, 0.542)
Cu (0.131, 0.280, 0.458)
Cu (0.105, 0.867, 0.923)
Cu (0.895, 0.133, 0.077)
Cu (0.963, 0.843, 0.232)
Cu (0.037, 0.157, 0.768)


# 9
Entry from Alexandria: a relaxed ErHfGaCu crystal (PBE).

Computed properties:
E_form in meV/atom: -276

Unit cell a=4.790 b=4.790 c=4.790 alpha=60.00 beta=60.00 gamma=60.00
Each line ends with the local moment (μB).
Atoms (fractional coordinates):
Hf (0.500, 0.500, 0.500)  0.18
Cu (0.250, 0.250, 0.250)  0.03
Ga (0.750, 0.750, 0.750)  -0.01
Er (0.000, 0.000, 0.000)  0.12


# 10
Entry from Alexandria: a relaxed Er2Ga3Cu4Hg crystal (PBE).

Computed properties:
E_form in meV/atom: -326

Unit cell a=4.076 b=4.076 c=10.704 alpha=90.00 beta=90.00 gamma=90.00
Atoms (fractional coordinates):
Er (0.500, 0.000, 0.237)
Er (0.000, 0.500, 0.763)
Ga (0.000, 0.000, 0.500)
Ga (0.500, 0.000, 0.874)
Ga (0.000, 0.500, 0.126)
Cu (0.500, 0.500, 0.000)
Cu (0.000, 0.000, 0.000)
Cu (0.500, 0.000, 0.654)
Cu (0.000, 0.500, 0.346)
Hg (0.500, 0.500, 0.500)


# 11
Entry from Alexandria: a relaxed Ho2ErGa2Cu2 crystal (PBE).

Computed properties:
E_form in meV/atom: -398

Unit cell a=4.352 b=4.352 c=9.437 alpha=76.67 beta=76.67 gamma=60.00
Atoms (fractional coordinates):
Ho (0.124, 0.124, 0.629)
Ho (0.876, 0.876, 0.371)
Er (0.000, 0.000, 0.000)
Ga (0.736, 0.736, 0.793)
Ga (0.264, 0.264, 0.207)
Cu (0.603, 0.603, 0.190)
Cu (0.397, 0.397, 0.810)


# 12
Entry from Alexandria: a relaxed HoErGaCu crystal (PBE).

Computed properties:
E_form in meV/atom: -429

Unit cell a=4.964 b=4.964 c=4.964 alpha=60.00 beta=60.00 gamma=60.00
Atoms (fractional coordinates):
Cu (0.750, 0.750, 0.750)
Ho (0.500, 0.500, 0.500)
Ga (0.250, 0.250, 0.250)
Er (0.000, 0.000, 0.000)